Record 1
Material: ZrReSi
Method: DFT, GGA-PBE
State: optimized geometry

Unit cell a=4.4239 b=4.4239 c=4.4239 alpha=60.00 beta=60.00 gamma=60.00
Atoms (fractional coordinates):
1 Re 0.0000 0.0000 0.0000
2 Si 0.5000 0.5000 0.5000
3 Zr 0.7500 0.7500 0.7500

Output
Space group: F-43m, No. 216
Calculated total energy: -24.2 eV for the cell shown
DOS(E_F): 3.5 states/eV/f.u.
Theoretical density: 8.3 g/cm³

=====

Record 2
Material: LiZr3Hg
Method: DFT, GGA-PBE
State: optimized geometry

Unit cell a=4.7335 b=4.7335 c=4.7335 alpha=90.00 beta=90.00 gamma=90.00
Atoms (fractional coordinates):
1 Zr 0.5000 0.0000 0.0000
2 Zr 0.0000 0.0000 0.5000
3 Zr 0.0000 0.5000 0.0000
4 Hg 0.5000 0.5000 0.5000
5 Li 0.0000 0.0000 0.0000

Output
Space group: Pm-3m, No. 221
DOS(E_F): 4.1 states/eV/f.u.
Theoretical density: 7.5 g/cm³
Energy above the lowest structure with this stoichiometry: 0 meV per atom

=====

Record 3
Material: BeSe3Br
Method: DFT, GGA-PBE
State: optimized geometry

Unit cell a=5.1551 b=5.1551 c=5.1551 alpha=90.00 beta=90.00 gamma=90.00
Atoms (fractional coordinates):
1 Br 0.0000 0.0000 0.0000
2 Se 0.5000 0.0000 0.0000
3 Se 0.0000 0.0000 0.5000
4 Se 0.0000 0.5000 0.0000
5 Be 0.5000 0.5000 0.5000

Output
Space group: Pm-3m, No. 221
DOS(E_F): 4.5 states/eV/f.u.
Theoretical density: 3.9 g/cm³
Energy above the lowest structure with this stoichiometry: 927 meV per atom

=====

Record 4
Material: SrTlBr2
Method: DFT, GGA-PBE
State: optimized geometry

Unit cell a=10.2582 b=10.2582 c=10.2582 alpha=26.20 beta=26.20 gamma=26.20
Atoms (fractional coordinates):
1 Br 0.0123 0.0123 0.0123
2 Br 0.2377 0.2377 0.2377
3 Sr 0.5212 0.5212 0.5212
4 Tl 0.7288 0.7288 0.7288

Output
Space group: R3m, No. 160
DOS(E_F): 1.7 states/eV/f.u.
Theoretical density: 4.0 g/cm³
Energy above the lowest structure with this stoichiometry: 358 meV per atom